(1)
! GGA-PBEsol BaZrF6, optimized geometry; values from VASP
! - Volume: 238 Å³ per cell
! - Size of the total moment: 0.00 μB per formula unit
! - Energy relative to the elements, uncorrected: -30.963 eV/f.u.
! - Calculated density: 4.8 g cm⁻³
! - Final energy: -6.7208 eV/atom
! - DOS at the Fermi energy: 0.000 states/eV per atom
&SYSTEM
  ibrav = 0, nat = 16, ntyp = 3
/
ATOMIC_SPECIES
F 19.00 F.upf
Zr 91.22 Zr.upf
Ba 137.33 Ba.upf
CELL_PARAMETERS angstrom
-4.9345 2.4117 0.0063
-2.7098 -5.5369 -2.9919
-0.1570 -0.3391 6.8419
ATOMIC_POSITIONS crystal
F 0.2502 0.1812 0.4333
F 0.8464 0.4317 0.5683
F 0.8464 0.0683 0.9317
F 0.7498 0.0667 0.3188
F 0.7498 0.4333 0.1812
F 0.1536 0.9317 0.0683
F 0.1536 0.5683 0.4317
F 0.2502 0.9333 0.6812
F 0.2502 0.3188 0.0667
F 0.7498 0.6812 0.9333
F 0.7498 0.8188 0.5667
F 0.2502 0.5667 0.8188
Zr 0.0000 0.7500 0.7500
Zr 0.0000 0.2500 0.2500
Ba 0.5604 0.2500 0.7500
Ba 0.4396 0.7500 0.2500

---

(2)
! GGA-PBEsol Mg2ZnTcGe, optimized geometry; values from VASP
! - Volume: 107 Å³ per cell
! - Energy of formation: 0.732 eV per atom
! - Size of the total moment: 1.00 μB per formula unit
! - Calculated density: 4.4 g cm⁻³
! - Final energy: -3.5120 eV/atom
! - DOS at the Fermi energy: 0.634 states/eV per atom
&SYSTEM
  ibrav = 0, nat = 5, ntyp = 4
/
ATOMIC_SPECIES
Ge 72.64 Ge.upf
Mg 24.30 Mg.upf
Zn 65.41 Zn.upf
Tc 98.00 Tc.upf
CELL_PARAMETERS angstrom
4.6403 0.0000 0.0000
0.0000 4.8126 0.0000
0.0000 0.0000 4.8126
ATOMIC_POSITIONS crystal
Ge 0.0000 0.0000 0.0000
Mg 0.0000 0.0000 0.5000
Mg 0.0000 0.5000 0.0000
Zn 0.5000 0.5000 0.5000
Tc 0.5000 0.0000 0.0000

---

(3)
! GGA-PBEsol Mg2MnSi, optimized geometry; values from VASP
! - Volume: 63 Å³ per cell
! - Size of the total moment: 2.75 μB per formula unit
! - Energy relative to the elements, uncorrected: 0.622 eV/f.u.
! - Calculated density: 3.5 g cm⁻³
! - Final energy: -4.5800 eV/atom
! - DOS at the Fermi energy: 0.644 states/eV per atom
&SYSTEM
  ibrav = 0, nat = 4, ntyp = 3
/
ATOMIC_SPECIES
Mg 24.30 Mg.upf
Mn 54.94 Mn.upf
Si 28.09 Si.upf
CELL_PARAMETERS angstrom
3.8088 0.0000 0.0000
0.0000 3.8088 0.0000
-1.9044 -1.9044 4.3483
ATOMIC_POSITIONS crystal
Mg 0.7500 0.2500 0.5000
Mg 0.2500 0.7500 0.5000
Mn 0.0000 0.0000 0.0000
Si 0.5000 0.5000 0.0000

---

(4)
! GGA-PBEsol CaTa2Tl, optimized geometry; values from VASP
! - Volume: 84 Å³ per cell
! - Energy of formation: 0.576 eV per atom
! - ΔE to the lowest computed polymorph: 30 meV/atom
! - Size of the total moment: 0.00 μB per formula unit
! - Calculated density: 12.0 g cm⁻³
! - Final energy: -6.8900 eV/atom
! - DOS at the Fermi energy: 1.142 states/eV per atom
&SYSTEM
  ibrav = 0, nat = 4, ntyp = 3
/
ATOMIC_SPECIES
Ta 180.95 Ta.upf
Ca 40.08 Ca.upf
Tl 204.38 Tl.upf
CELL_PARAMETERS angstrom
2.9687 -0.0003 0.0000
-0.2608 5.2945 0.0000
-1.3539 -2.6471 5.3382
ATOMIC_POSITIONS crystal
Ta 0.5000 0.5000 0.5000
Ta 0.0000 0.0000 0.5000
Ca 0.5000 0.0000 0.0000
Tl 0.0000 0.5000 0.0000

---

(5)
! GGA-PBEsol La2BiRh2, optimized geometry; values from VASP
! - Volume: 128 Å³ per cell
! - Energy of formation: -0.532 eV per atom
! - ΔE to the lowest computed polymorph: 210 meV/atom
! - Size of the total moment: 0.00 μB per formula unit
! - Calculated density: 9.0 g cm⁻³
! - Final energy: -6.7826 eV/atom
! - DOS at the Fermi energy: 0.594 states/eV per atom
&SYSTEM
  ibrav = 0, nat = 5, ntyp = 3
/
ATOMIC_SPECIES
Rh 102.91 Rh.upf
La 138.91 La.upf
Bi 208.98 Bi.upf
CELL_PARAMETERS angstrom
3.8954 0.0000 0.0000
0.0000 3.8954 0.0000
-1.9477 -1.9477 8.4344
ATOMIC_POSITIONS crystal
Rh 0.2500 0.7500 0.5000
Rh 0.7500 0.2500 0.5000
La 0.3697 0.3697 0.7394
La 0.6303 0.6303 0.2606
Bi 0.0000 0.0000 0.0000

---

(6)
! GGA-PBEsol BaSrPb6, optimized geometry; values from VASP
! - Volume: 747 Å³ per cell
! - Energy of formation: -0.384 eV per atom
! - Size of the total moment: 0.00 μB per formula unit
! - Calculated density: 9.8 g cm⁻³
! - Final energy: -3.8813 eV/atom
! - DOS at the Fermi energy: 0.422 states/eV per atom
&SYSTEM
  ibrav = 0, nat = 24, ntyp = 3
/
ATOMIC_SPECIES
Pb 207.20 Pb.upf
Ba 137.33 Ba.upf
Sr 87.62 Sr.upf
CELL_PARAMETERS angstrom
7.0994 0.0000 0.0000
-3.5497 6.1483 0.0000
0.0000 0.0000 17.1184
ATOMIC_POSITIONS crystal
Pb 0.4932 0.5068 0.5795
Pb 0.1843 0.8157 0.7532
Pb 0.8319 0.6638 0.4188
Pb 0.4973 0.5027 0.9204
Pb 0.4973 0.9945 0.9204
Pb 0.3211 0.1606 0.0798
Pb 0.6314 0.8157 0.7532
Pb 0.4932 0.9864 0.5795
Pb 0.1843 0.3686 0.7532
Pb 0.0055 0.5027 0.9204
Pb 0.0136 0.5068 0.5795
Pb 0.6993 0.8496 0.2502
Pb 0.1504 0.8496 0.2502
Pb 0.1504 0.3007 0.2502
Pb 0.8394 0.6789 0.0798
Pb 0.8394 0.1606 0.0798
Pb 0.8319 0.1681 0.4188
Pb 0.3362 0.1681 0.4188
Ba 0.6667 0.3333 0.2468
Ba 0.0000 0.0000 0.5911
Ba 0.6667 0.3333 0.7487
Sr 0.3333 0.6667 0.0900
Sr 0.0000 0.0000 0.9094
Sr 0.3333 0.6667 0.4088

---

(7)
! GGA-PBEsol CrRe2Te, optimized geometry; values from VASP
! - Volume: 62 Å³ per cell
! - Size of the total moment: 0.08 μB per formula unit
! - Energy relative to the elements, uncorrected: 2.453 eV/f.u.
! - Calculated density: 14.7 g cm⁻³
! - Final energy: -9.4947 eV/atom
! - DOS at the Fermi energy: 0.869 states/eV per atom
&SYSTEM
  ibrav = 0, nat = 4, ntyp = 3
/
ATOMIC_SPECIES
Te 127.60 Te.upf
Re 186.21 Re.upf
Cr 52.00 Cr.upf
CELL_PARAMETERS angstrom
3.0095 0.0000 0.0000
0.0000 4.5788 -0.0401
-1.5048 -0.6698 4.5212
ATOMIC_POSITIONS crystal
Te 0.4980 0.4798 0.9961
Re 0.2614 0.8028 0.5229
Re 0.0023 0.9868 0.0046
Cr 0.7382 0.2305 0.4765

---

(8)
! GGA-PBEsol LaHg2, optimized geometry; values from VASP
! - Volume: 150 Å³ per cell
! - Energy of formation: -0.442 eV per atom
! - Size of the total moment: 0.00 μB per formula unit
! - Calculated density: 12.0 g cm⁻³
! - Final energy: -2.6019 eV/atom
! - DOS at the Fermi energy: 0.538 states/eV per atom
&SYSTEM
  ibrav = 0, nat = 6, ntyp = 2
/
ATOMIC_SPECIES
Hg 200.59 Hg.upf
La 138.91 La.upf
CELL_PARAMETERS angstrom
-5.0406 3.1155 -0.6840
-2.3498 0.7152 -5.4359
-5.0629 -2.7998 -1.4527
ATOMIC_POSITIONS crystal
Hg 0.6250 0.1250 0.6250
Hg 0.6250 0.6250 0.1250
Hg 0.1250 0.6250 0.6250
Hg 0.6250 0.6250 0.6250
La 0.0000 0.0000 0.0000
La 0.2500 0.2500 0.2500

---

(9)
! GGA-PBEsol Ba3SrEr2Mo2O12, optimized geometry; values from VASP
! - Volume: 284 Å³ per cell
! - Size of the total moment: 0.01 μB per formula unit
! - Energy relative to the elements, uncorrected: -57.425 eV/f.u.
! - Calculated density: 7.1 g cm⁻³
! - Final energy: -8.1047 eV/atom
! - DOS at the Fermi energy: 0.310 states/eV per atom
&SYSTEM
  ibrav = 0, nat = 20, ntyp = 5
/
ATOMIC_SPECIES
O 16.00 O.upf
Ba 137.33 Ba.upf
Er 167.26 Er.upf
Mo 95.94 Mo.upf
Sr 87.62 Sr.upf
CELL_PARAMETERS angstrom
5.8612 0.0338 0.0342
2.9036 5.0920 0.0336
2.8680 1.6810 9.5584
ATOMIC_POSITIONS crystal
O 0.8439 0.3987 0.8724
O 0.8945 0.3959 0.3638
O 0.0938 0.1728 0.1310
O 0.1766 0.6015 0.1302
O 0.6499 0.1025 0.6317
O 0.1044 0.6143 0.6338
O 0.8835 0.8469 0.8716
O 0.3961 0.8871 0.8697
O 0.3920 0.3460 0.3657
O 0.6177 0.6467 0.6325
O 0.3426 0.8976 0.3667
O 0.6037 0.0900 0.1324
Ba 0.1250 0.1248 0.6253
Ba 0.3746 0.3746 0.8760
Ba 0.8751 0.8752 0.3745
Er 0.5005 0.5006 0.4985
Er 0.9994 0.9993 0.0018
Mo 0.2506 0.2505 0.2485
Mo 0.7494 0.7495 0.7515
Sr 0.6266 0.6253 0.1224

---

(10)
! GGA-PBEsol Ta2MoW, optimized geometry; values from VASP
! - Volume: 66 Å³ per cell
! - Energy of formation: -0.140 eV per atom
! - Size of the total moment: 0.00 μB per formula unit
! - Calculated density: 16.2 g cm⁻³
! - Final energy: -12.8094 eV/atom
! - DOS at the Fermi energy: 0.646 states/eV per atom
&SYSTEM
  ibrav = 0, nat = 4, ntyp = 3
/
ATOMIC_SPECIES
Ta 180.95 Ta.upf
Mo 95.94 Mo.upf
W 183.84 W.upf
CELL_PARAMETERS angstrom
-1.4641 2.5669 -1.2205
-3.9890 -1.9497 0.6848
2.5286 1.5599 4.4349
ATOMIC_POSITIONS crystal
Ta 0.7541 0.2541 0.5082
Ta 0.9942 0.9942 0.9885
Mo 0.2458 0.7458 0.4916
W 0.5058 0.5058 0.0117

---

(11)
! GGA-PBEsol ZrNb3P, optimized geometry; values from VASP
! - Volume: 99 Å³ per cell
! - Energy of formation: 0.030 eV per atom
! - Size of the total moment: 0.00 μB per formula unit
! - Calculated density: 6.7 g cm⁻³
! - Final energy: -9.4388 eV/atom
! - DOS at the Fermi energy: 1.024 states/eV per atom
&SYSTEM
  ibrav = 0, nat = 5, ntyp = 3
/
ATOMIC_SPECIES
Nb 92.91 Nb.upf
Zr 91.22 Zr.upf
P 30.97 P.upf
CELL_PARAMETERS angstrom
-0.5358 -0.7161 4.5347
-3.5435 -2.8383 -0.8669
2.9189 -3.5770 -0.2200
ATOMIC_POSITIONS crystal
Nb 0.0000 0.5000 0.0000
Nb 0.5000 0.0000 0.0000
Nb 0.0000 0.0000 0.5000
Zr 0.5000 0.5000 0.5000
P 0.0000 0.0000 0.0000

---

(12)
! GGA-PBEsol Zr2HgAs, optimized geometry; values from VASP
! - Volume: 85 Å³ per cell
! - Energy of formation: -0.121 eV per atom
! - ΔE to the lowest computed polymorph: 435 meV/atom
! - Size of the total moment: 0.00 μB per formula unit
! - Calculated density: 8.9 g cm⁻³
! - Final energy: -6.0837 eV/atom
! - DOS at the Fermi energy: 0.816 states/eV per atom
&SYSTEM
  ibrav = 0, nat = 4, ntyp = 3
/
ATOMIC_SPECIES
Hg 200.59 Hg.upf
Zr 91.22 Zr.upf
As 74.92 As.upf
CELL_PARAMETERS angstrom
3.2503 0.0000 0.0000
1.6251 2.8148 0.0000
1.6251 0.9383 9.3305
ATOMIC_POSITIONS crystal
Hg 0.7520 0.7520 0.7441
Zr 0.2454 0.2454 0.2638
Zr 0.9994 0.9994 0.0019
As 0.5032 0.5032 0.4903